[1]
{
  "formula": "SnAsIrSe2",
  "functional": "PBEsol",
  "state": "relaxed",
  "lattice": [[4.502, 0.000, 0.000], [0.000, 5.135, 0.000], [0.000, 0.000, 5.135]],
  "species": ["Ir", "As", "Se", "Sn", "Se"],
  "fractional_positions": [[0.000, 0.000, 0.000], [0.500, 0.000, 0.000], [0.000, 0.500, 0.000], [0.500, 0.500, 0.500], [0.000, 0.000, 0.500]],
  "e_form_raw_ev_per_atom": 0.32,
  "energy_ev_per_atom": -5.06
}

---

[2]
{
  "formula": "TaCrAu2",
  "functional": "PBEsol",
  "state": "relaxed",
  "lattice": [[2.882, 0.000, 0.000], [1.441, 2.496, 0.000], [1.441, 0.832, 9.134]],
  "species": ["Cr", "Ta", "Au", "Au"],
  "fractional_positions": [[0.000, 0.000, 0.000], [0.500, 0.500, 0.500], [0.253, 0.253, 0.240], [0.747, 0.747, 0.760]],
  "ef_kj_per_mol_atoms": 27.8,
  "relative_energy_mev_per_atom": 186,
  "energy_ev_per_atom": -7.37
}

---

[3]
{
  "formula": "ZrNiF2",
  "functional": "PBEsol",
  "state": "relaxed",
  "lattice": [[4.028, 0.000, 0.000], [2.014, 3.489, 0.000], [2.014, 1.163, 3.289]],
  "species": ["Zr", "Ni", "F", "F"],
  "fractional_positions": [[0.500, 0.500, 0.500], [0.000, 0.000, 0.000], [0.250, 0.250, 0.250], [0.750, 0.750, 0.750]],
  "e_form_raw_ev_per_atom": -1.23,
  "energy_ev_per_atom": -6.00
}

---

[4]
{
  "formula": "FeMoRu2",
  "functional": "PBEsol",
  "state": "relaxed",
  "lattice": [[-2.642, 2.623, -0.035], [-2.205, -2.194, 2.047], [3.862, 1.275, 2.140]],
  "species": ["Ru", "Ru", "Mo", "Fe"],
  "fractional_positions": [[0.750, 0.250, 0.500], [0.000, 0.000, 0.000], [0.250, 0.750, 0.500], [0.500, 0.500, 0.000]],
  "ef_kj_per_mol_atoms": 7.2,
  "relative_energy_mev_per_atom": 0,
  "energy_ev_per_atom": -10.19
}

---

[5]
{
  "formula": "YMg3",
  "functional": "PBEsol",
  "state": "relaxed",
  "lattice": [[8.684, 0.000, 0.000], [-4.342, 7.520, 0.000], [0.000, 0.000, 9.283]],
  "species": ["Y", "Mg", "Y", "Mg", "Mg", "Y", "Mg", "Y", "Mg", "Mg", "Mg", "Mg", "Mg", "Mg", "Mg", "Mg", "Y", "Mg", "Mg", "Mg", "Y", "Mg", "Mg", "Mg"],
  "fractional_positions": [[0.334, 0.334, 0.447], [0.000, 0.000, 0.196], [0.000, 0.334, 0.947], [0.333, 0.000, 0.607], [0.000, 0.000, 0.696], [0.000, 0.666, 0.447], [0.667, 0.333, 0.198], [0.666, 0.666, 0.947], [0.667, 0.000, 0.787], [0.667, 0.000, 0.107], [0.000, 0.333, 0.607], [0.333, 0.667, 0.698], [0.667, 0.667, 0.287], [0.667, 0.667, 0.607], [0.000, 0.333, 0.287], [0.000, 0.667, 0.787], [0.666, 0.000, 0.447], [0.667, 0.333, 0.698], [0.000, 0.667, 0.107], [0.333, 0.000, 0.287], [0.334, 0.000, 0.947], [0.333, 0.667, 0.198], [0.333, 0.333, 0.787], [0.333, 0.333, 0.107]],
  "ef_kj_per_mol_atoms": 0.3,
  "energy_ev_per_atom": -2.99
}

---

[6]
{
  "formula": "YAg2",
  "functional": "PBEsol",
  "state": "relaxed",
  "lattice": [[4.938, 0.000, 0.000], [-2.469, 4.277, 0.000], [0.000, 0.000, 5.909]],
  "species": ["Y", "Ag", "Ag", "Y", "Ag", "Ag"],
  "fractional_positions": [[0.333, 0.667, 0.750], [0.333, 0.667, 0.250], [0.000, 0.000, 0.000], [0.667, 0.333, 0.250], [0.667, 0.333, 0.750], [0.000, 0.000, 0.500]],
  "ef_kj_per_mol_atoms": -23.4,
  "energy_ev_per_atom": -4.72
}